# 1
Below is crystalline Mg4V at its relaxed geometry, with properties calculated at the PBE level. Values from VASP.

total moment: 4.2 μB per formula unit
V: 143 Å³ per cell
calculated total energy: -2.28 eV/atom
symmetry: Pm-3m

Structure (Quantum ESPRESSO input):
```
&SYSTEM
  ibrav = 0, nat = 5, ntyp = 2
/
ATOMIC_SPECIES
Mg 24.30 Mg.upf
V 50.94 V.upf
ATOMIC_POSITIONS crystal
Mg 0.000 0.000 0.000
Mg 0.500 0.000 0.500
Mg 0.000 0.500 0.500
Mg 0.500 0.500 0.000
V 0.500 0.500 0.500
CELL_PARAMETERS angstrom
5.228 0.000 0.000
0.000 5.228 0.000
0.000 0.000 5.228
```

---

# 2
Below is crystalline Tb4CePr4 at its relaxed geometry, with properties calculated at the PBE level. Values from VASP.

total moment: 1.4 μB per formula unit
V: 304 Å³ per cell
calculated total energy: -4.80 eV/atom
symmetry: I4/mmm

Structure (Quantum ESPRESSO input):
```
&SYSTEM
  ibrav = 0, nat = 9, ntyp = 3
/
ATOMIC_SPECIES
Tb 158.93 Tb.upf
Ce 140.12 Ce.upf
Pr 140.91 Pr.upf
ATOMIC_POSITIONS crystal
Tb 0.336 0.328 0.000
Tb 0.664 0.672 0.000
Tb 0.664 0.000 0.672
Tb 0.336 0.000 0.328
Ce 0.000 0.000 0.000
Pr 0.000 0.671 0.329
Pr 0.000 0.329 0.671
Pr 0.671 0.329 0.329
Pr 0.329 0.671 0.671
CELL_PARAMETERS angstrom
-3.100 -0.841 -4.014
4.272 -3.683 -5.818
-3.473 -7.264 0.913
```

---

# 3
Below is crystalline YMn2W at its relaxed geometry, with properties calculated at the PBE level. Values from VASP.

total moment: 1.7 μB per formula unit
V: 71 Å³ per cell
calculated total energy: -8.81 eV/atom
symmetry: R3m

Structure (Quantum ESPRESSO input):
```
&SYSTEM
  ibrav = 0, nat = 4, ntyp = 3
/
ATOMIC_SPECIES
Mn 54.94 Mn.upf
W 183.84 W.upf
Y 88.91 Y.upf
ATOMIC_POSITIONS crystal
Mn 0.985 0.985 0.985
Mn 0.249 0.249 0.249
W 0.516 0.516 0.516
Y 0.750 0.750 0.750
CELL_PARAMETERS angstrom
8.997 -0.080 -0.047
8.507 2.928 -0.047
8.507 1.384 2.581
```

---

# 4
Below is crystalline TaMn2Pd at its relaxed geometry, with properties calculated at the PBE level. Values from VASP.

total moment: 4.8 μB per formula unit
V: 58 Å³ per cell
calculated total energy: -8.94 eV/atom
symmetry: P4/mmm

Structure (Quantum ESPRESSO input):
```
&SYSTEM
  ibrav = 0, nat = 4, ntyp = 3
/
ATOMIC_SPECIES
Mn 54.94 Mn.upf
Pd 106.42 Pd.upf
Ta 180.95 Ta.upf
ATOMIC_POSITIONS crystal
Mn 0.000 0.000 0.500
Mn 0.000 0.500 0.000
Pd 0.500 0.500 0.500
Ta 0.500 0.000 0.000
CELL_PARAMETERS angstrom
3.447 0.000 0.000
0.000 4.112 0.000
0.000 0.000 4.112
```

---

# 5
Below is crystalline CdHgMo2 at its relaxed geometry, with properties calculated at the PBE level. Values from VASP.

total moment: 0.0 μB per formula unit
V: 72 Å³ per cell
calculated total energy: -5.17 eV/atom
symmetry: P2/m

Structure (Quantum ESPRESSO input):
```
&SYSTEM
  ibrav = 0, nat = 4, ntyp = 3
/
ATOMIC_SPECIES
Cd 112.41 Cd.upf
Hg 200.59 Hg.upf
Mo 95.94 Mo.upf
ATOMIC_POSITIONS crystal
Cd 0.500 0.250 0.250
Hg 0.500 0.750 0.750
Mo 0.000 0.983 0.017
Mo 0.000 0.517 0.483
CELL_PARAMETERS angstrom
-0.351 4.007 -2.461
-2.620 -0.656 -0.695
-3.482 2.179 4.045
```

---

# 6
Below is crystalline ZrInCu2 at its relaxed geometry, with properties calculated at the PBE level. Values from VASP.

total moment: 0.0 μB per formula unit
V: 72 Å³ per cell
calculated total energy: -4.86 eV/atom
symmetry: C2/m

Structure (Quantum ESPRESSO input):
```
&SYSTEM
  ibrav = 0, nat = 4, ntyp = 3
/
ATOMIC_SPECIES
Cu 63.55 Cu.upf
In 114.82 In.upf
Zr 91.22 Zr.upf
ATOMIC_POSITIONS crystal
Cu 0.000 0.000 0.019
Cu 0.500 0.500 0.481
In 0.750 0.750 0.750
Zr 0.250 0.250 0.250
CELL_PARAMETERS angstrom
4.687 0.016 0.012
3.706 2.870 0.012
0.834 0.287 5.382
```

---

# 7
Below is crystalline ZrNiPt3 at its relaxed geometry, with properties calculated at the PBE level. Values from VASP.

total moment: 0.0 μB per formula unit
V: 94 Å³ per cell
calculated total energy: -6.18 eV/atom
symmetry: Pm-3m

Structure (Quantum ESPRESSO input):
```
&SYSTEM
  ibrav = 0, nat = 5, ntyp = 3
/
ATOMIC_SPECIES
Ni 58.69 Ni.upf
Zr 91.22 Zr.upf
Pt 195.08 Pt.upf
ATOMIC_POSITIONS crystal
Ni 0.000 0.000 0.000
Zr 0.500 0.500 0.500
Pt 0.000 0.500 0.000
Pt 0.000 0.000 0.500
Pt 0.500 0.000 0.000
CELL_PARAMETERS angstrom
-3.953 -1.229 -1.872
1.316 -4.348 0.075
-1.812 -0.477 4.139
```

---

# 8
Below is crystalline Ti4HN3 at its relaxed geometry, with properties calculated at the PBE level. Values from VASP.

total moment: 0.0 μB per formula unit
V: 76 Å³ per cell
calculated total energy: -8.93 eV/atom
symmetry: Cmmm

Structure (Quantum ESPRESSO input):
```
&SYSTEM
  ibrav = 0, nat = 8, ntyp = 3
/
ATOMIC_SPECIES
Ti 47.87 Ti.upf
H 1.01 H.upf
N 14.01 N.upf
ATOMIC_POSITIONS crystal
Ti 0.000 0.759 0.741
Ti 0.500 0.755 0.255
Ti 0.000 0.242 0.259
Ti 0.500 0.245 0.745
H 0.500 0.500 0.000
N 0.500 0.000 0.500
N 0.000 0.000 0.000
N 0.000 0.500 0.500
CELL_PARAMETERS angstrom
3.001 -0.038 0.051
0.038 4.983 1.456
-0.084 0.290 5.183
```

---

# 9
Below is crystalline KS2IN at its relaxed geometry, with properties calculated at the PBE level. Values from VASP.

formation energy without anion corrections: 70.3 kJ/mol of atoms
total moment: 1.0 μB per formula unit
V: 118 Å³ per cell
calculated total energy: -3.12 eV/atom
symmetry: P4/mmm

Structure (Quantum ESPRESSO input):
```
&SYSTEM
  ibrav = 0, nat = 5, ntyp = 4
/
ATOMIC_SPECIES
I 126.90 I.upf
K 39.10 K.upf
S 32.06 S.upf
N 14.01 N.upf
ATOMIC_POSITIONS crystal
I 0.000 0.000 0.000
K 0.500 0.500 0.500
S 0.000 0.500 0.000
S 0.500 0.000 0.000
N 0.000 0.000 0.500
CELL_PARAMETERS angstrom
5.315 0.000 0.000
0.000 5.315 0.000
0.000 0.000 4.163
```

---

# 10
Below is crystalline Na3Th3NpTe8 at its relaxed geometry, with properties calculated at the PBE level. Values from VASP.

formation energy without anion corrections: -99.9 kJ/mol of atoms
total moment: 4.8 μB per formula unit
V: 527 Å³ per cell
calculated total energy: -5.32 eV/atom
symmetry: R-3m

Structure (Quantum ESPRESSO input):
```
&SYSTEM
  ibrav = 0, nat = 15, ntyp = 4
/
ATOMIC_SPECIES
Na 22.99 Na.upf
Th 232.04 Th.upf
Np 237.00 Np.upf
Te 127.60 Te.upf
ATOMIC_POSITIONS crystal
Na 0.000 0.000 0.000
Na 0.000 0.500 0.000
Na 0.500 0.500 0.000
Th 0.500 0.000 0.500
Th 0.500 0.500 0.500
Th 0.000 0.500 0.500
Np 0.000 0.000 0.500
Te 0.251 0.503 0.254
Te 0.749 0.497 0.746
Te 0.752 0.504 0.261
Te 0.248 0.496 0.739
Te 0.752 0.008 0.261
Te 0.248 0.992 0.739
Te 0.256 0.008 0.261
Te 0.744 0.992 0.739
CELL_PARAMETERS angstrom
-0.764 6.809 -5.654
-3.174 -7.994 -2.218
-4.431 4.894 6.488
```

---

# 11
Below is crystalline NaAcEuTl at its relaxed geometry, with properties calculated at the PBE level. Values from VASP.

total moment: 7.3 μB per formula unit
V: 140 Å³ per cell
calculated total energy: -4.65 eV/atom
symmetry: F-43m

Structure (Quantum ESPRESSO input):
```
&SYSTEM
  ibrav = 0, nat = 4, ntyp = 4
/
ATOMIC_SPECIES
Eu 151.96 Eu.upf
Na 22.99 Na.upf
Ac 227.00 Ac.upf
Tl 204.38 Tl.upf
ATOMIC_POSITIONS crystal
Eu 0.750 0.750 0.750
Na 0.000 0.000 0.000
Ac 0.250 0.250 0.250
Tl 0.500 0.500 0.500
CELL_PARAMETERS angstrom
-1.435 5.539 -1.099
-3.636 2.830 3.567
2.010 4.265 3.424
```

---

# 12
Below is crystalline LiCaYCd at its relaxed geometry, with properties calculated at the PBE level. Values from VASP.

total moment: 0.0 μB per formula unit
V: 108 Å³ per cell
calculated total energy: -2.98 eV/atom
symmetry: F-43m

Structure (Quantum ESPRESSO input):
```
&SYSTEM
  ibrav = 0, nat = 4, ntyp = 4
/
ATOMIC_SPECIES
Y 88.91 Y.upf
Ca 40.08 Ca.upf
Li 6.94 Li.upf
Cd 112.41 Cd.upf
ATOMIC_POSITIONS crystal
Y 0.000 0.000 0.000
Ca 0.500 0.500 0.500
Li 0.250 0.250 0.250
Cd 0.750 0.750 0.750
CELL_PARAMETERS angstrom
5.345 0.000 0.000
2.673 4.629 0.000
2.673 1.543 4.364
```